(1)
Density functional theory data (PBE) for an optimized crystal structure of Cs2SnICl6.

## Properties
* uncorrected formation energy: -116.9 kJ per mole of atoms
* total energy: -3.05 eV per atom
* M_tot: 2.00 Bohr magnetons per cell

Geometry as CIF:
```
data_Cs2SnICl6
_chemical_formula_sum 'Cs4 Sn2 I2 Cl12'
_cell_length_a 8.417
_cell_length_b 8.417
_cell_length_c 11.046
_cell_angle_alpha 90.00
_cell_angle_beta 90.00
_cell_angle_gamma 90.00
_symmetry_space_group_name_H-M 'I 4/m m m'
_symmetry_Int_Tables_number 139
_symmetry_space_group_name_Hall '-I 4 2'
loop_
_atom_site_label
_atom_site_fract_x
_atom_site_fract_y
_atom_site_fract_z
Cs1 0.000 0.500 0.250
Sn1 0.000 0.000 0.000
I1 0.000 0.000 0.500
Cl1 0.000 0.000 0.229
Cl2 0.208 0.208 0.000
```

***

(2)
Density functional theory data (PBE) for an optimized crystal structure of Cs2SnICl6.

## Properties
* uncorrected formation energy: -118.6 kJ per mole of atoms
* total energy: -3.06 eV per atom
* M_tot: 2.01 Bohr magnetons per cell

Geometry as CIF:
```
data_Cs2SnICl6
_chemical_formula_sum 'Cs4 Sn2 I2 Cl12'
_cell_length_a 7.492
_cell_length_b 10.865
_cell_length_c 10.217
_cell_angle_alpha 90.00
_cell_angle_beta 90.00
_cell_angle_gamma 90.00
_symmetry_space_group_name_H-M 'P m m n'
_symmetry_Int_Tables_number 59
loop_
_symmetry_equiv_pos_as_xyz
'x,y,z'
'-x,-y,-z'
'-x+1/2,-y+1/2,z'
'x+1/2,y+1/2,-z'
'x+1/2,-y,-z'
'-x+1/2,y,z'
'-x,y+1/2,-z'
'x,-y+1/2,z'
loop_
_atom_site_label
_atom_site_fract_x
_atom_site_fract_y
_atom_site_fract_z
Cs1 0.250 0.009 0.184
Sn1 0.250 0.750 0.804
I1 0.250 0.250 0.698
Cl1 0.013 0.750 0.640
Cl2 0.021 0.750 0.982
Cl3 0.250 0.519 0.815
```

***

(3)
Density functional theory data (PBE) for an optimized crystal structure of Cs2SnI4Cl2.

## Properties
* uncorrected formation energy: -105.9 kJ per mole of atoms
* total energy: -2.83 eV per atom
* M_tot: 0.00 Bohr magnetons per cell

Geometry as CIF:
```
data_Cs2SnI4Cl2
_chemical_formula_sum 'Cs4 Sn2 I8 Cl4'
_cell_length_a 14.193
_cell_length_b 8.315
_cell_length_c 8.428
_cell_angle_alpha 90.00
_cell_angle_beta 125.95
_cell_angle_gamma 90.00
_symmetry_space_group_name_H-M 'C 1 2/m 1'
_symmetry_Int_Tables_number 12
_symmetry_space_group_name_Hall '-C 2y'
loop_
_atom_site_label
_atom_site_fract_x
_atom_site_fract_y
_atom_site_fract_z
Cs1 0.249 0.000 0.278
Sn1 0.000 0.000 0.500
I1 0.020 0.245 0.762
Cl1 0.217 0.000 0.679
```

***

(4)
Density functional theory data (PBE) for an optimized crystal structure of Cs3Sr2I3Cl4.

## Properties
* uncorrected formation energy: -188.4 kJ per mole of atoms
* total energy: -3.45 eV per atom
* M_tot: 0.00 Bohr magnetons per cell

Geometry as CIF:
```
data_Cs3Sr2I3Cl4
_chemical_formula_sum 'Cs6 Sr4 I6 Cl8'
_cell_length_a 6.462
_cell_length_b 30.570
_cell_length_c 5.713
_cell_angle_alpha 90.00
_cell_angle_beta 90.00
_cell_angle_gamma 90.00
_symmetry_space_group_name_H-M 'I m m 2'
_symmetry_Int_Tables_number 44
_symmetry_space_group_name_Hall 'I 2 -2'
loop_
_atom_site_label
_atom_site_fract_x
_atom_site_fract_y
_atom_site_fract_z
Cs1 0.000 0.000 0.000
Cs2 0.000 0.188 0.998
Sr1 0.000 0.390 0.001
I1 0.000 0.097 0.499
I2 0.000 0.500 0.001
Cl1 0.000 0.298 0.003
Cl2 0.000 0.387 0.501
```

***

(5)
Density functional theory data (PBE) for an optimized crystal structure of Cs3Sr2I2Cl5.

## Properties
* uncorrected formation energy: -202.1 kJ per mole of atoms
* total energy: -3.62 eV per atom
* M_tot: 0.00 Bohr magnetons per cell

Geometry as CIF:
```
data_Cs3Sr2I2Cl5
_chemical_formula_sum 'Cs6 Sr4 I4 Cl10'
_cell_length_a 5.729
_cell_length_b 5.729
_cell_length_c 31.082
_cell_angle_alpha 90.00
_cell_angle_beta 90.00
_cell_angle_gamma 90.00
_symmetry_space_group_name_H-M 'I 4/m m m'
_symmetry_Int_Tables_number 139
_symmetry_space_group_name_Hall '-I 4 2'
loop_
_atom_site_label
_atom_site_fract_x
_atom_site_fract_y
_atom_site_fract_z
Cs1 0.000 0.000 0.000
Cs2 0.000 0.000 0.176
Sr1 0.000 0.000 0.408
I1 0.000 0.000 0.302
Cl1 0.000 0.000 0.500
Cl2 0.000 0.500 0.090
```

***

(6)
Density functional theory data (PBE) for an optimized crystal structure of Cs2SrICl6.

## Properties
* uncorrected formation energy: -140.6 kJ per mole of atoms
* total energy: -3.06 eV per atom
* M_tot: 2.00 Bohr magnetons per cell

Geometry as CIF:
```
data_Cs2SrICl6
_chemical_formula_sum 'Cs4 Sr2 I2 Cl12'
_cell_length_a 8.662
_cell_length_b 8.662
_cell_length_c 10.861
_cell_angle_alpha 90.00
_cell_angle_beta 90.00
_cell_angle_gamma 90.00
_symmetry_space_group_name_H-M 'I 4/m m m'
_symmetry_Int_Tables_number 139
_symmetry_space_group_name_Hall '-I 4 2'
loop_
_atom_site_label
_atom_site_fract_x
_atom_site_fract_y
_atom_site_fract_z
Cs1 0.000 0.500 0.250
Sr1 0.000 0.000 0.000
I1 0.000 0.000 0.500
Cl1 0.000 0.000 0.270
Cl2 0.230 0.230 0.000
```

***

(7)
Density functional theory data (PBE) for an optimized crystal structure of Cs2TaICl6.

## Properties
* uncorrected formation energy: -139.3 kJ per mole of atoms
* total energy: -4.06 eV per atom
* M_tot: 0.00 Bohr magnetons per cell

Geometry as CIF:
```
data_Cs2TaICl6
_chemical_formula_sum 'Cs8 Ta4 I4 Cl24'
_cell_length_a 11.935
_cell_length_b 11.935
_cell_length_c 11.935
_cell_angle_alpha 90.00
_cell_angle_beta 90.00
_cell_angle_gamma 90.00
_symmetry_space_group_name_H-M 'F m -3 m'
_symmetry_Int_Tables_number 225
_symmetry_space_group_name_Hall '-F 4 2 3'
loop_
_atom_site_label
_atom_site_fract_x
_atom_site_fract_y
_atom_site_fract_z
Cs1 0.250 0.250 0.250
Ta1 0.000 0.000 0.000
I1 0.000 0.000 0.500
Cl1 0.000 0.000 0.199
```

***

(8)
Density functional theory data (PBE) for an optimized crystal structure of CsTaICl2.

## Properties
* uncorrected formation energy: 18.1 kJ per mole of atoms
* total energy: -3.40 eV per atom
* M_tot: 3.00 Bohr magnetons per cell

Geometry as CIF:
```
data_CsTaICl2
_chemical_formula_sum 'Cs1 Ta1 I1 Cl2'
_cell_length_a 6.655
_cell_length_b 6.655
_cell_length_c 5.163
_cell_angle_alpha 90.00
_cell_angle_beta 90.00
_cell_angle_gamma 90.00
_symmetry_space_group_name_H-M 'P 4/m m m'
_symmetry_Int_Tables_number 123
_symmetry_space_group_name_Hall '-P 4 2'
loop_
_atom_site_label
_atom_site_fract_x
_atom_site_fract_y
_atom_site_fract_z
Cs1 0.000 0.000 0.000
Ta1 0.500 0.500 0.000
I1 0.500 0.500 0.500
Cl1 0.000 0.500 0.500
```

***

(9)
Density functional theory data (PBE) for an optimized crystal structure of Cs2TaI4Cl2.

## Properties
* uncorrected formation energy: -112.9 kJ per mole of atoms
* total energy: -3.78 eV per atom
* M_tot: 2.01 Bohr magnetons per cell

Geometry as CIF:
```
data_Cs2TaI4Cl2
_chemical_formula_sum 'Cs4 Ta2 I8 Cl4'
_cell_length_a 13.689
_cell_length_b 8.378
_cell_length_c 6.955
_cell_angle_alpha 90.00
_cell_angle_beta 97.52
_cell_angle_gamma 90.00
_symmetry_space_group_name_H-M 'C 1 2/m 1'
_symmetry_Int_Tables_number 12
_symmetry_space_group_name_Hall '-C 2y'
loop_
_atom_site_label
_atom_site_fract_x
_atom_site_fract_y
_atom_site_fract_z
Cs1 0.152 0.000 0.282
Ta1 0.000 0.500 0.500
I1 0.098 0.259 0.743
Cl1 0.131 0.500 0.311
```

***

(10)
Density functional theory data (PBE) for an optimized crystal structure of Cs2TaI5Cl.

## Properties
* uncorrected formation energy: -102.2 kJ per mole of atoms
* total energy: -3.63 eV per atom
* M_tot: 2.01 Bohr magnetons per cell

Geometry as CIF:
```
data_Cs2TaI5Cl
_chemical_formula_sum 'Cs4 Ta2 I10 Cl2'
_cell_length_a 8.508
_cell_length_b 8.508
_cell_length_c 11.264
_cell_angle_alpha 90.00
_cell_angle_beta 90.00
_cell_angle_gamma 90.00
_symmetry_space_group_name_H-M 'I 4 m m'
_symmetry_Int_Tables_number 107
_symmetry_space_group_name_Hall 'I 4 -2'
loop_
_atom_site_label
_atom_site_fract_x
_atom_site_fract_y
_atom_site_fract_z
Cs1 0.000 0.500 0.000
Ta1 0.000 0.000 0.254
I1 0.000 0.000 0.005
I2 0.235 0.235 0.251
Cl1 0.000 0.000 0.464
```

***

(11)
Density functional theory data (PBE) for an optimized crystal structure of Cs2TcI2Cl4.

## Properties
* uncorrected formation energy: -113.6 kJ per mole of atoms
* total energy: -3.68 eV per atom
* M_tot: 5.92 Bohr magnetons per cell

Geometry as CIF:
```
data_Cs2TcI2Cl4
_chemical_formula_sum 'Cs4 Tc2 I4 Cl8'
_cell_length_a 8.032
_cell_length_b 8.032
_cell_length_c 10.412
_cell_angle_alpha 90.00
_cell_angle_beta 90.00
_cell_angle_gamma 90.00
_symmetry_space_group_name_H-M 'I 4/m m m'
_symmetry_Int_Tables_number 139
_symmetry_space_group_name_Hall '-I 4 2'
loop_
_atom_site_label
_atom_site_fract_x
_atom_site_fract_y
_atom_site_fract_z
Cs1 0.000 0.500 0.250
Tc1 0.000 0.000 0.000
I1 0.000 0.000 0.265
Cl1 0.210 0.210 0.000
```

***

> Among the records above, which one has the highest total energy?

Cs2SnI4Cl2

***

> Among the records above, which one has the lowest uncorrected formation energy?

Cs3Sr2I2Cl5